DFT (PBE+U) results for a geometry-optimized Nd2TlMo4O16 structure.

Cell lengths 5.4408, 12.7111, 19.9121 Å; angles 90.00, 93.62, 90.00 degrees
Last column: nearest neighbours and their distance in Å.
Space group C2/c (No. 15)
Unique sites:
Nd1 0.0030 0.1473 0.0329 [8 per cell]  8 O 2.40-2.52
Tl1 0.0000 0.0260 0.2500 [4 per cell]  4 O 2.56-2.61
Mo1 0.0183 0.4402 0.0919 [8 per cell]  4 O 1.73-1.87
Mo2 0.0235 0.2597 0.6516 [8 per cell]  4 O 1.77-1.87
O1 0.0914 0.4094 0.3306 [8 per cell]  1 Mo 1.73
O2 0.0940 0.1350 0.8246 [8 per cell]  1 Mo 1.79
O3 0.1601 0.3305 0.0455 [8 per cell]  1 Mo 1.87
O4 0.1752 0.2405 0.5706 [8 per cell]  1 Mo 1.87
O5 0.2294 0.3107 0.7161 [8 per cell]  1 Mo 1.77
O6 0.2329 0.4528 0.6031 [8 per cell]  1 Mo 1.80
O7 0.2359 0.3473 0.8652 [8 per cell]  1 Mo 1.81
O8 0.2466 0.0180 0.5374 [8 per cell]  1 Mo 1.86

* energy: -164.05 eV per formula unit
* volume: 1374.35 Å³ per cell